The following is a PBE calculation of a relaxed structure of AcHo5Er, from Alexandria via LeMat-Bulk.

VASP energy   -4.309 eV per atom
Volume   233 Å³/f.u.
Theoretical density   8.7 g cm⁻³
Magnetic moment   0.0 μB/cell

Lattice parameters (Å, degrees): 6.787 6.787 12.447 106.99 106.99 59.78
Atoms (fractional coordinates):
Ac (0.000, 0.500, 0.000)
Ac (0.500, 0.000, 0.500)
Ho (0.082, 0.918, 0.250)
Ho (0.085, 0.368, 0.260)
Ho (0.158, 0.705, 0.504)
Ho (0.295, 0.842, 0.996)
Ho (0.368, 0.085, 0.760)
Ho (0.632, 0.915, 0.240)
Ho (0.705, 0.158, 0.004)
Ho (0.842, 0.295, 0.496)
Ho (0.915, 0.632, 0.740)
Ho (0.918, 0.082, 0.750)
Er (0.465, 0.535, 0.750)
Er (0.535, 0.465, 0.250)